Entry from Alexandria: crystalline BiPtIO2 at its relaxed geometry (PBE).

Lattice parameters (Å, degrees): 4.1113 4.1113 7.2261 90.00 90.00 90.00
Element x y z (fractional)
1 Bi 0.0000 0.0000 0.0000
2 Pt 0.5000 0.5000 0.5000
3 I 0.0000 0.0000 0.5000
4 O 0.0000 0.5000 0.0000
5 O 0.5000 0.0000 0.0000

Properties
Its formation energy (no corrections) is 83 meV per atom. The magnetic moment is 0.00 Bohr magnetons per cell. The density of states at the Fermi level comes out at 6.24 states/eV/f.u. The calculation puts the volume at 122.1 Å³/cell.

---

Entry from Alexandria: crystalline Sr3TlTe at its relaxed geometry (PBE).

Lattice parameters (Å, degrees): 6.2393 6.2393 6.2393 90.00 90.00 90.00
Element x y z (fractional)
1 Sr 0.0000 0.0000 0.5000
2 Sr 0.0000 0.5000 0.0000
3 Sr 0.5000 0.0000 0.0000
4 Tl 0.5000 0.5000 0.5000
5 Te 0.0000 0.0000 0.0000

Properties
Its formation energy (no corrections) is -507 meV per atom. The magnetic moment is 0.00 Bohr magnetons per cell. The density of states at the Fermi level comes out at 7.34 states/eV/f.u. The calculation puts the volume at 242.9 Å³/cell.

---

Entry from Alexandria: crystalline CaIn3Ge3 at its relaxed geometry (PBE).

Lattice parameters (Å, degrees): 7.5744 7.5744 7.5744 90.00 90.00 90.00
Element x y z (fractional)
1 Ca 0.0000 0.0000 0.0000
2 Ca 0.5000 0.5000 0.5000
3 In 0.0000 0.2500 0.5000
4 In 0.0000 0.7500 0.5000
5 In 0.2500 0.5000 0.0000
6 In 0.5000 0.0000 0.2500
7 In 0.5000 0.0000 0.7500
8 In 0.7500 0.5000 0.0000
9 Ge 0.0000 0.5000 0.2500
10 Ge 0.0000 0.5000 0.7500
11 Ge 0.2500 0.0000 0.5000
12 Ge 0.5000 0.2500 0.0000
13 Ge 0.5000 0.7500 0.0000
14 Ge 0.7500 0.0000 0.5000

Properties
Its formation energy is 0.162 eV/atom. The magnetic moment is 0.00 Bohr magnetons per cell. The density of states at the Fermi level comes out at 2.35 states/eV/f.u. The calculation puts the volume at 434.5 Å³/cell.

---

Entry from Alexandria: crystalline Sm6GeTe3As2 at its relaxed geometry (PBE).

Lattice parameters (Å, degrees): 9.7767 9.7767 8.7709 104.49 104.49 25.44
Element x y z (fractional)
1 Sm 0.0054 0.0054 0.2327
2 Sm 0.3271 0.3271 0.4327
3 Sm 0.3410 0.3410 0.9024
4 Sm 0.6590 0.6590 0.0976
5 Sm 0.6729 0.6729 0.5673
6 Sm 0.9946 0.9946 0.7673
7 Ge 0.5000 0.5000 0.0000
8 Te 0.1677 0.1677 0.8330
9 Te 0.5000 0.5000 0.5000
10 Te 0.8323 0.8323 0.1670
11 As 0.1670 0.1670 0.3342
12 As 0.8330 0.8330 0.6658

Properties
Its formation energy (no corrections) is -1437 meV per atom. The magnetic moment is 0.00 Bohr magnetons per cell. The density of states at the Fermi level comes out at 4.16 states/eV/f.u. The calculation puts the volume at 348.0 Å³/cell.

---

Entry from Alexandria: crystalline LiHg2Os at its relaxed geometry (PBE).

Lattice parameters (Å, degrees): 2.8209 2.8209 9.2404 90.00 90.00 90.00
Element x y z (fractional)
1 Li 0.0000 0.0000 0.0000
2 Hg 0.0000 0.0000 0.4516
3 Hg 0.5000 0.5000 0.7607
4 Os 0.5000 0.5000 0.2074

Properties
Its formation energy is 0.484 eV/atom. The magnetic moment is 0.76 Bohr magnetons per cell. The density of states at the Fermi level comes out at 3.20 states/eV/f.u. The calculation puts the volume at 73.5 Å³/cell.

---

Entry from Alexandria: crystalline Na2CuAuF at its relaxed geometry (PBE).

Lattice parameters (Å, degrees): 4.2322 4.2322 4.9031 90.00 90.00 90.00
Element x y z (fractional)
1 Na 0.0000 0.5000 0.0000
2 Na 0.5000 0.0000 0.0000
3 Cu 0.0000 0.0000 0.5000
4 Au 0.5000 0.5000 0.5000
5 F 0.0000 0.0000 0.0000

Properties
Its formation energy (no corrections) is -775 meV per atom. The magnetic moment is 0.00 Bohr magnetons per cell. The density of states at the Fermi level comes out at 1.82 states/eV/f.u. The calculation puts the volume at 87.8 Å³/cell.

---

Entry from Alexandria: crystalline Tb3Sm4ScTe8 at its relaxed geometry (PBE).

Lattice parameters (Å, degrees): 8.8068 8.8068 8.8068 59.52 59.52 59.52
Element x y z (fractional)
1 Tb 0.0000 0.5000 0.5000
2 Tb 0.5000 0.0000 0.5000
3 Tb 0.5000 0.5000 0.0000
4 Sm 0.0000 0.0000 0.5000
5 Sm 0.0000 0.5000 0.0000
6 Sm 0.5000 0.0000 0.0000
7 Sm 0.5000 0.5000 0.5000
8 Sc 0.0000 0.0000 0.0000
9 Te 0.2425 0.2425 0.7534
10 Te 0.2425 0.7534 0.2425
11 Te 0.2466 0.7575 0.7575
12 Te 0.2520 0.2520 0.2520
13 Te 0.7480 0.7480 0.7480
14 Te 0.7534 0.2425 0.2425
15 Te 0.7575 0.2466 0.7575
16 Te 0.7575 0.7575 0.2466

Properties
Its formation energy (no corrections) is -1312 meV per atom. The magnetic moment is 0.00 Bohr magnetons per cell. The density of states at the Fermi level comes out at 12.51 states/eV/f.u. The calculation puts the volume at 477.7 Å³/cell.

---

Entry from Alexandria: crystalline Nd6Sb2Ir at its relaxed geometry (PBE).

Lattice parameters (Å, degrees): 6.5002 8.3400 12.1753 90.00 120.34 90.00
Element x y z (fractional)
1 Nd 0.0888 0.1783 0.4534
2 Nd 0.0888 0.3217 0.9534
3 Nd 0.3151 0.6789 0.4561
4 Nd 0.3151 0.8211 0.9561
5 Nd 0.3655 0.0246 0.2454
6 Nd 0.3655 0.4754 0.7454
7 Nd 0.6345 0.5246 0.2546
8 Nd 0.6345 0.9754 0.7546
9 Nd 0.6849 0.1789 0.0439
10 Nd 0.6849 0.3211 0.5439
11 Nd 0.9112 0.6783 0.0466
12 Nd 0.9112 0.8217 0.5466
13 Sb 0.1621 0.1145 0.7518
14 Sb 0.1621 0.3855 0.2518
15 Sb 0.8379 0.6145 0.7482
16 Sb 0.8379 0.8855 0.2482
17 Ir 0.5000 0.0000 0.5000
18 Ir 0.5000 0.5000 0.0000

Properties
Its formation energy (no corrections) is -673 meV per atom. The magnetic moment is 0.00 Bohr magnetons per cell. The density of states at the Fermi level comes out at 10.50 states/eV/f.u. The calculation puts the volume at 569.7 Å³/cell.